# 1
Entry from Alexandria via LeMat-Bulk: crystalline Sn at its relaxed geometry (GGA-PBEsol).

Results
final energy = -0.1557 hartree per atom
calculated formation energy = 0.0226 eV/atom
energy relative to the lowest polymorph listed for this composition = 23 meV/atom

Cell lengths 3.3412, 3.3412, 5.3802 Å; angles 90.00, 90.00, 120.00 degrees
Sites, in units of the cell vectors:
Sn1 0.6667 0.3333 0.7500
Sn2 0.3333 0.6667 0.2500

=====

# 2
Entry from Alexandria via LeMat-Bulk: crystalline Sn at its relaxed geometry (GGA-PBEsol).

Results
final energy = -0.1555 hartree per atom
calculated formation energy = 0.0269 eV/atom
energy relative to the lowest polymorph listed for this composition = 27 meV/atom

Cell lengths 3.3647, 3.3647, 8.3536 Å; angles 88.75, 102.36, 121.51 degrees
Sites, in units of the cell vectors:
Sn1 0.5000 0.0000 0.5000
Sn2 0.9634 0.2050 0.1684
Sn3 0.0366 0.7950 0.8316

=====

# 3
Entry from Alexandria via LeMat-Bulk: crystalline Sn at its relaxed geometry (GGA-PBEsol).

Results
final energy = -0.1547 hartree per atom
calculated formation energy = 0.0488 eV/atom
energy relative to the lowest polymorph listed for this composition = 49 meV/atom

Cell lengths 5.9089, 5.9089, 5.9089 Å; angles 109.47, 109.47, 109.47 degrees
Sites, in units of the cell vectors:
Sn1 0.2500 0.8750 0.6250
Sn2 0.8750 0.1250 0.7500
Sn3 0.3750 0.7500 0.1250
Sn4 0.6250 0.3750 0.2500
Sn5 0.7500 0.6250 0.8750
Sn6 0.1250 0.2500 0.3750

=====

# 4
Entry from Alexandria via LeMat-Bulk: crystalline Sn at its relaxed geometry (GGA-PBEsol).

Results
final energy = -0.1565 hartree per atom
calculated formation energy = 0.0012 eV/atom
energy relative to the lowest polymorph listed for this composition = 1 meV/atom

Cell lengths 2.9912, 3.1805, 5.6009 Å; angles 90.00, 90.00, 90.00 degrees
Sites, in units of the cell vectors:
Sn1 0.0003 0.0000 0.5000
Sn2 0.9997 0.5000 0.0000

=====

# 5
Entry from Alexandria via LeMat-Bulk: crystalline Sn at its relaxed geometry (GGA-PBEsol).

Results
final energy = -0.1555 hartree per atom
calculated formation energy = 0.0266 eV/atom
energy relative to the lowest polymorph listed for this composition = 27 meV/atom

Cell lengths 4.6103, 4.6103, 4.6103 Å; angles 60.00, 60.00, 60.00 degrees
Sites, in units of the cell vectors:
Sn1 0.0000 0.0000 0.0000
Sn2 0.2500 0.2500 0.2500

=====

# 6
Entry from Alexandria via LeMat-Bulk: crystalline Sn at its relaxed geometry (GGA-PBEsol).

Results
final energy = -0.1555 hartree per atom
calculated formation energy = 0.0275 eV/atom
energy relative to the lowest polymorph listed for this composition = 28 meV/atom

Cell lengths 5.9860, 5.9860, 5.9860 Å; angles 90.00, 90.00, 90.00 degrees
Sites, in units of the cell vectors:
Sn1 0.8091 0.8091 0.8091
Sn2 0.8091 0.6909 0.3090
Sn3 0.6909 0.1910 0.3090
Sn4 0.1910 0.3090 0.6909
Sn5 0.6909 0.3090 0.8091
Sn6 0.3090 0.8091 0.6909
Sn7 0.1910 0.1910 0.1910
Sn8 0.3090 0.6909 0.1910

=====

# 7
Entry from Alexandria via LeMat-Bulk: crystalline Sn at its relaxed geometry (GGA-PBEsol).

Results
final energy = -0.1543 hartree per atom
calculated formation energy = 0.0592 eV/atom
energy relative to the lowest polymorph listed for this composition = 59 meV/atom

Cell lengths 12.1398, 12.1398, 12.1398 Å; angles 90.00, 90.00, 90.00 degrees
Sites, in units of the cell vectors:
Sn1 0.1834 0.1834 0.1834
Sn2 0.0000 0.3086 0.1168
Sn3 0.1834 0.8166 0.1834
Sn4 0.1914 0.5000 0.6168
Sn5 0.0000 0.3086 0.8832
Sn6 0.8166 0.8166 0.8166
Sn7 0.3166 0.6834 0.6834
Sn8 0.5000 0.3832 0.1914
Sn9 0.1168 0.0000 0.6914
Sn10 0.1834 0.1834 0.8166
Sn11 0.0000 0.6914 0.8832
Sn12 0.8166 0.8166 0.1834
Sn13 0.3166 0.6834 0.3166
Sn14 0.3086 0.8832 0.0000
Sn15 0.5000 0.2500 0.0000
Sn16 0.3166 0.3166 0.3166
Sn17 0.1834 0.8166 0.8166
Sn18 0.6168 0.1914 0.5000
Sn19 0.1168 0.0000 0.3086
Sn20 0.5000 0.6168 0.1914
Sn21 0.5000 0.3832 0.8086
Sn22 0.6834 0.6834 0.6834
Sn23 0.5000 0.7500 0.0000
Sn24 0.6834 0.6834 0.3166
Sn25 0.6834 0.3166 0.6834
Sn26 0.8166 0.1834 0.1834
Sn27 0.0000 0.6914 0.1168
Sn28 0.6834 0.3166 0.3166
Sn29 0.6914 0.8832 0.0000
Sn30 0.1914 0.5000 0.3832
Sn31 0.3166 0.3166 0.6834
Sn32 0.2500 0.0000 0.5000
Sn33 0.7500 0.0000 0.5000
Sn34 0.5000 0.6168 0.8086
Sn35 0.3832 0.8086 0.5000
Sn36 0.8832 0.0000 0.6914
Sn37 0.3832 0.1914 0.5000
Sn38 0.0000 0.5000 0.2500
Sn39 0.0000 0.5000 0.7500
Sn40 0.8086 0.5000 0.3832
Sn41 0.3086 0.1168 0.0000
Sn42 0.6168 0.8086 0.5000
Sn43 0.8086 0.5000 0.6168
Sn44 0.8832 0.0000 0.3086
Sn45 0.8166 0.1834 0.8166
Sn46 0.6914 0.1168 0.0000

=====

# 8
Entry from Alexandria via LeMat-Bulk: crystalline Sn at its relaxed geometry (GGA-PBEsol).

Results
final energy = -0.1558 hartree per atom
calculated formation energy = 0.0200 eV/atom
energy relative to the lowest polymorph listed for this composition = 20 meV/atom

Cell lengths 3.2465, 3.2465, 3.2465 Å; angles 74.16, 73.97, 116.80 degrees
Sites, in units of the cell vectors:
Sn1 0.0000 0.0000 0.0000

=====

# 9
Entry from Alexandria via LeMat-Bulk: crystalline Sn at its relaxed geometry (GGA-PBEsol).

Results
final energy = -0.1555 hartree per atom
calculated formation energy = 0.0287 eV/atom
energy relative to the lowest polymorph listed for this composition = 29 meV/atom

Cell lengths 3.2316, 3.2316, 3.2316 Å; angles 109.47, 109.47, 109.47 degrees
Sites, in units of the cell vectors:
Sn1 0.0000 0.0000 0.0000

=====

# 10
Entry from Alexandria via LeMat-Bulk: crystalline SrSn3 at its relaxed geometry (GGA-PBEsol).

Results
final energy = -0.1505 hartree per atom
calculated formation energy = -0.4411 eV/atom

Cell lengths 5.4714, 6.8960, 6.8960 Å; angles 120.00, 90.00, 90.00 degrees
Sites, in units of the cell vectors:
Sn1 0.2500 0.8500 0.1500
Sn2 0.2500 0.3001 0.1500
Sn3 0.7500 0.1500 0.8500
Sn4 0.7500 0.1500 0.3001
Sn5 0.7500 0.6999 0.8500
Sn6 0.2500 0.8500 0.6999
Sr1 0.2500 0.3333 0.6667
Sr2 0.7500 0.6667 0.3333

=====

# 11
Entry from Alexandria via LeMat-Bulk: crystalline SrSn at its relaxed geometry (GGA-PBEsol).

Results
final energy = -0.1383 hartree per atom
calculated formation energy = -0.7148 eV/atom

Cell lengths 4.4772, 4.9936, 6.4878 Å; angles 67.37, 90.00, 90.00 degrees
Sites, in units of the cell vectors:
Sr1 0.7500 0.8638 0.2723
Sr2 0.2500 0.1362 0.7277
Sn1 0.2500 0.4208 0.1583
Sn2 0.7500 0.5792 0.8417

=====

# 12
Entry from Alexandria via LeMat-Bulk: crystalline SrSn3 at its relaxed geometry (GGA-PBEsol).

Results
final energy = -0.1509 hartree per atom
calculated formation energy = -0.4513 eV/atom

Cell lengths 6.8541, 6.8541, 11.5962 Å; angles 72.81, 72.81, 60.00 degrees
Sites, in units of the cell vectors:
Sn1 0.3964 0.3964 0.3692
Sn2 0.1620 0.6036 0.6308
Sn3 0.6036 0.6036 0.6308
Sn4 0.2836 0.7959 0.1247
Sn5 0.2041 0.2041 0.8753
Sn6 0.7959 0.2836 0.1247
Sn7 0.6036 0.1620 0.6308
Sn8 0.8380 0.3964 0.3692
Sn9 0.3964 0.8380 0.3692
Sn10 0.2041 0.7164 0.8753
Sn11 0.7959 0.7959 0.1247
Sn12 0.7164 0.2041 0.8753
Sr1 0.2899 0.2899 0.1302
Sr2 0.7101 0.7101 0.8698
Sr3 0.8696 0.8696 0.3911
Sr4 0.1304 0.1304 0.6089